Entry from the Open Quantum Materials Database: TmLuCdC after structural relaxation (PBE).

Calculated values
V	21.37	Å³ per atom
density	9.098	g/cm3
electronic total energy	-41.0	eV for the cell shown
space-group type	No. 186

abc: 3.4927 3.4927 16.1823
angles: 90.00 90.00 120.00
Closest atoms and distances in Å follow each position.
Atoms (fractional coordinates):
Tm 0.3333 0.6667 0.0000  3 C 2.42
Tm 0.6667 0.3333 0.5000  3 C 2.42
Lu 0.3333 0.6667 0.6636  3 C 2.41
Lu 0.6667 0.3333 0.1636  3 C 2.41
Cd 0.3333 0.6667 0.3314  3 Lu 3.38, 3 Tm 3.39, 6 Cd 3.49
Cd 0.6667 0.3333 0.8314  3 Lu 3.38, 3 Tm 3.39, 6 Cd 3.49
C 0.0000 0.0000 0.0826  3 Lu 2.41, 3 Tm 2.42
C 0.0000 0.0000 0.5826  3 Lu 2.41, 3 Tm 2.42

=====

Entry from the Open Quantum Materials Database: K2Tc after structural relaxation (PBE).

Calculated values
V	134.25	Å³ per atom
density	0.726	g/cm3
excess energy over the best structure of this formula in the dataset	170	meV per atom
space-group type	No. 227

abc: 10.4439 10.4439 10.4439
angles: 60.00 60.00 60.00
Closest atoms and distances in Å follow each position.
Atoms (fractional coordinates):
K 0.0000 0.0000 0.0000  2 Tc 3.20
K 0.0000 0.0000 0.5000  2 Tc 3.20
K 0.0000 0.5000 0.0000  2 Tc 3.20
K 0.5000 0.0000 0.0000  2 Tc 3.20
Tc 0.1250 0.1250 0.1250  4 K 3.20
Tc 0.8750 0.8750 0.8750  4 K 3.20

=====

Entry from the Open Quantum Materials Database: BaHoNb after structural relaxation (PBE).

Calculated values
V	36.77	Å³ per atom
density	5.948	g/cm3
excess energy over the best structure of this formula in the dataset	0	meV per atom
space-group type	No. 216

abc: 5.3834 5.3834 5.3834
angles: 60.00 60.00 60.00
Closest atoms and distances in Å follow each position.
Atoms (fractional coordinates):
Ba 0.0000 0.0000 0.0000  4 Nb 3.30
Ho 0.5000 0.5000 0.5000  4 Nb 3.30
Nb 0.2500 0.2500 0.2500  4 Ba 3.30, 4 Ho 3.30

=====

Entry from the Open Quantum Materials Database: Y6GaCo2 after structural relaxation (PBE).

Calculated values
V	24.48	Å³ per atom
density	5.433	g/cm3
electronic total energy	-117.1	eV for the cell shown
space-group type	No. 71

abc: 8.3081 8.3081 8.3081
angles: 111.53 109.98 106.94
Closest atoms and distances in Å follow each position.
Atoms (fractional coordinates):
Y 0.0341 0.2341 0.8000  1 Co 2.80, 1 Ga 3.00
Y 0.1831 0.2820 0.4651  3 Co 2.91-3.16, 1 Ga 3.16
Y 0.1831 0.7180 0.9011  3 Co 2.91-3.16, 1 Ga 3.16
Y 0.3206 0.0152 0.6946  3 Co 2.75-2.85
Y 0.3206 0.6260 0.3054  3 Co 2.75-2.85
Y 0.4340 0.2341 0.2000  1 Co 2.80, 1 Ga 3.00
Y 0.5660 0.7659 0.8000  1 Co 2.80, 1 Ga 3.00
Y 0.6794 0.3740 0.6946  3 Co 2.75-2.85
Y 0.6794 0.9848 0.3054  3 Co 2.75-2.85
Y 0.8169 0.2820 0.0989  3 Co 2.91-3.16, 1 Ga 3.16
Y 0.8169 0.7180 0.5349  3 Co 2.91-3.16, 1 Ga 3.16
Y 0.9659 0.7659 0.2000  1 Co 2.80, 1 Ga 3.00
Ga 0.0000 0.0000 0.0000  8 Y 3.00-3.16
Ga 0.5000 0.5000 0.0000  8 Y 3.25-3.36
Co 0.1126 0.6126 0.5000  1 Co 2.23
Co 0.3657 0.0000 0.3657  1 Co 2.56, 6 Y 2.80-2.85
Co 0.6343 0.0000 0.6343  1 Co 2.56, 6 Y 2.80-2.85
Co 0.8874 0.3874 0.5000  1 Co 2.23

=====

Entry from the Open Quantum Materials Database: CsPaNi after structural relaxation (PBE).

Calculated values
V	25.98	Å³ per atom
density	9.005	g/cm3
excess energy over the best structure of this formula in the dataset	393	meV per atom
space-group type	No. 216

abc: 4.7946 4.7946 4.7946
angles: 60.00 60.00 60.00
Closest atoms and distances in Å follow each position.
Atoms (fractional coordinates):
Cs 0.0000 0.0000 0.0000  4 Ni 2.94, 4 Pa 2.94
Pa 0.2500 0.2500 0.2500  4 Cs 2.94
Ni 0.7500 0.7500 0.7500  4 Cs 2.94

=====

Entry from the Open Quantum Materials Database: AcNiBi after structural relaxation (PBE).

Calculated values
V	27.86	Å³ per atom
density	9.827	g/cm3
excess energy over the best structure of this formula in the dataset	0	meV per atom
space-group type	No. 216

abc: 4.9078 4.9078 4.9078
angles: 60.00 60.00 60.00
Closest atoms and distances in Å follow each position.
Atoms (fractional coordinates):
Ac 0.0000 0.0000 0.0000  4 Ni 3.01
Ni 0.7500 0.7500 0.7500  4 Ac 3.01, 4 Bi 3.01
Bi 0.5000 0.5000 0.5000  4 Ni 3.01

=====

Entry from the Open Quantum Materials Database: Sc4PAuC2 after structural relaxation (PBE).

Calculated values
V	16.41	Å³ per atom
density	5.462	g/cm3
electronic total energy	-58.4	eV for the cell shown
space-group type	No. 187

abc: 3.4398 3.4398 12.8102
angles: 90.00 90.00 120.00
Closest atoms and distances in Å follow each position.
Atoms (fractional coordinates):
Sc 0.0000 0.0000 0.1378  3 C 2.41, 3 P 2.66
Sc 0.0000 0.0000 0.8622  3 C 2.41, 3 P 2.66
Sc 0.6667 0.3333 0.3287  3 C 2.26
Sc 0.6667 0.3333 0.6713  3 C 2.26
P 0.6667 0.3333 0.0000  6 Sc 2.66
Au 0.0000 0.0000 0.5000  6 Sc 2.96
C 0.3333 0.6667 0.2439  6 Sc 2.26-2.41
C 0.3333 0.6667 0.7561  6 Sc 2.26-2.41

=====

Entry from the Open Quantum Materials Database: PrAsAu after structural relaxation (PBE).

Calculated values
V	28.30	Å³ per atom
density	8.075	g/cm3
electronic total energy	-14.4	eV for the cell shown
space-group type	No. 216

abc: 4.9332 4.9332 4.9332
angles: 60.00 60.00 60.00
Closest atoms and distances in Å follow each position.
Atoms (fractional coordinates):
Pr 0.0000 0.0000 0.0000  4 As 3.02, 4 Au 3.02
As 0.7500 0.7500 0.7500  4 Pr 3.02
Au 0.2500 0.2500 0.2500  4 Pr 3.02

=====

Entry from the Open Quantum Materials Database: HfZr2As4Pd4 after structural relaxation (PBE).

Calculated values
V	18.36	Å³ per atom
density	8.930	g/cm3
excess energy over the best structure of this formula in the dataset	2	meV per atom
space-group type	No. 6

abc: 6.6208 3.9438 7.7359
angles: 90.00 90.28 90.00
Closest atoms and distances in Å follow each position.
Atoms (fractional coordinates):
Hf 0.0000 0.0000 0.0000  5 As 2.78-2.87, 5 Pd 2.95-3.02
Zr 0.0764 0.5000 0.3751  5 As 2.77-2.92, 5 Pd 2.96-3.05
Zr 0.5058 0.0000 0.8680  5 As 2.66-2.87
As 0.2879 0.5000 0.0610  4 Pd 2.53-2.73, 2 Hf 2.78, 1 Zr 2.81
As 0.3178 0.0000 0.5627  4 Pd 2.48-2.75, 1 Zr 2.66
As 0.7807 0.5000 0.8048  4 Pd 2.56-2.68, 2 Zr 2.73
As 0.7917 0.0000 0.3143  4 Pd 2.53-2.67, 2 Zr 2.77, 1 Hf 2.80
Pd 0.1799 0.5000 0.7474  4 As 2.53-2.68, 2 Pd 2.82
Pd 0.3958 0.0000 0.2494  4 As 2.48-2.67
Pd 0.6939 0.5000 0.1279  4 As 2.53-2.73
Pd 0.9090 0.0000 0.6262  4 As 2.53-2.75, 2 Pd 2.82

=====

Entry from the Open Quantum Materials Database: TbSc2Cu4Ge4 after structural relaxation (PBE).

Calculated values
V	16.57	Å³ per atom
density	7.229	g/cm3
electronic total energy	-57.2	eV for the cell shown
space-group type	No. 71

abc: 7.7988 7.7988 7.7988
angles: 149.95 129.31 60.06
Closest atoms and distances in Å follow each position.
Atoms (fractional coordinates):
Tb 0.0000 0.0000 0.0000  6 Ge 2.91-2.99
Sc 0.3735 0.8735 0.5000  6 Ge 2.88-2.93, 6 Cu 2.95-3.01
Sc 0.6265 0.1265 0.5000  6 Ge 2.88-2.93, 6 Cu 2.95-3.01
Cu 0.0207 0.3284 0.6923  4 Ge 2.45-2.51, 1 Cu 2.57
Cu 0.3639 0.6716 0.6923  4 Ge 2.45-2.51, 1 Cu 2.57
Cu 0.6361 0.3284 0.3077  4 Ge 2.45-2.51, 1 Cu 2.57
Cu 0.9793 0.6716 0.3077  4 Ge 2.45-2.51, 1 Cu 2.57
Ge 0.2216 0.2216 0.0000  6 Cu 2.49-2.51
Ge 0.3132 0.5000 0.8132  2 Cu 2.45, 1 Ge 2.50
Ge 0.6868 0.5000 0.1868  2 Cu 2.45, 1 Ge 2.50
Ge 0.7784 0.7784 0.0000  6 Cu 2.49-2.51

=====

Entry from the Open Quantum Materials Database: Dy3Er3FeTe2 after structural relaxation (PBE).

Calculated values
V	26.09	Å³ per atom
density	9.194	g/cm3
excess energy over the best structure of this formula in the dataset	33	meV per atom
space-group type	No. 189

abc: 8.2880 8.2880 3.9477
angles: 90.00 90.00 120.00
Closest atoms and distances in Å follow each position.
Atoms (fractional coordinates):
Dy 0.0000 0.2371 0.0000  2 Fe 2.79
Dy 0.2371 0.0000 0.0000  2 Fe 2.79
Dy 0.7629 0.7629 0.0000  2 Fe 2.79
Er 0.0000 0.6040 0.5000  4 Te 3.22, 1 Fe 3.28, 4 Dy 3.48
Er 0.3960 0.3960 0.5000  4 Te 3.22, 1 Fe 3.28, 4 Dy 3.48
Er 0.6040 0.0000 0.5000  4 Te 3.22, 1 Fe 3.28, 4 Dy 3.48
Fe 0.0000 0.0000 0.5000  6 Dy 2.79
Te 0.3333 0.6667 0.0000  6 Er 3.22, 3 Dy 3.24
Te 0.6667 0.3333 0.0000  6 Er 3.22, 3 Dy 3.24

=====

Entry from the Open Quantum Materials Database: Nd2Sm2Si3 after structural relaxation (PBE).

Calculated values
V	25.20	Å³ per atom
density	6.339	g/cm3
electronic total energy	-77.9	eV for the cell shown
space-group type	No. 63

abc: 10.9308 10.9308 7.0479
angles: 90.00 90.00 155.23
Closest atoms and distances in Å follow each position.
Atoms (fractional coordinates):
Nd 0.0466 0.9534 0.7500  9 Si 3.11-3.37
Nd 0.1209 0.8791 0.2500  4 Si 3.05, 4 Sm 3.32
Nd 0.8791 0.1209 0.7500  4 Si 3.05, 4 Sm 3.32
Nd 0.9534 0.0466 0.2500  9 Si 3.11-3.37
Sm 0.3128 0.6872 0.0157  4 Si 2.87-3.18
Sm 0.3128 0.6872 0.4843  4 Si 2.87-3.18
Sm 0.6872 0.3128 0.5157  4 Si 2.87-3.18
Sm 0.6872 0.3128 0.9843  4 Si 2.87-3.18
Si 0.1924 0.8076 0.7500  6 Sm 2.87-3.18, 1 Nd 3.11
Si 0.4495 0.5505 0.5747  2 Si 2.40-2.47
Si 0.4495 0.5505 0.9253  2 Si 2.40-2.47
Si 0.5505 0.4495 0.0747  2 Si 2.40-2.47
Si 0.5505 0.4495 0.4253  2 Si 2.40-2.47
Si 0.8076 0.1924 0.2500  6 Sm 2.87-3.18, 1 Nd 3.11

=====

> Look up the V of the fourth one.

24.48 Å³ per atom